The following is a DFT calculation (PBE with a Hubbard U) of crystalline Bi2Mo2Se2O13 at its relaxed geometry.

Values from the calculation:
As for the symmetry: No. 2. The magnetization comes out at 0.000 μB per formula unit. The calculation puts the total energy at -235.0 eV/cell.

Cell: 6.6821 7.0824 12.1854 Å, 90.98 83.84 88.42°
Sites, in units of the cell vectors:
O1 0.4807 0.0828 0.8586
O2 0.3525 0.4063 0.7150
O3 0.2479 0.6825 0.0516
O4 0.4102 0.3805 0.1490
O5 0.7909 0.3086 0.7192
O6 0.7749 0.9106 0.7123
O7 0.8431 0.8031 0.4317
O8 0.0007 0.4227 0.1381
O9 0.9865 0.4299 0.3729
O10 0.6475 0.5937 0.2850
O11 0.1569 0.1969 0.5683
O12 0.0742 0.1382 0.7983
O13 0.1565 0.0481 0.0635
O14 0.8435 0.9519 0.9365
O15 0.5193 0.9172 0.1414
O16 0.0135 0.5701 0.6271
O17 0.3612 0.6465 0.5009
O18 0.6911 0.2021 0.3050
O19 0.7521 0.3175 0.9484
O20 0.2091 0.6914 0.2808
O21 0.3089 0.7979 0.6950
O22 0.2251 0.0894 0.2877
O23 0.9993 0.5773 0.8619
O24 0.9258 0.8618 0.2017
O25 0.5898 0.6195 0.8510
O26 0.6388 0.3535 0.4991
Mo1 0.2590 0.9105 0.1843
Mo2 0.8901 0.6761 0.3084
Mo3 0.1099 0.3239 0.6916
Mo4 0.7410 0.0895 0.8157
Se1 0.8247 0.2355 0.4173
Se2 0.2332 0.4344 0.0593
Se3 0.1753 0.7645 0.5827
Se4 0.7668 0.5656 0.9407
Bi1 0.1876 0.8700 0.8920
Bi2 0.8124 0.1300 0.1080
Bi3 0.6251 0.5794 0.6629
Bi4 0.3749 0.4206 0.3371